Record 1
First-principles (PBE-GGA) data for an optimized crystal structure of MgNi2I, as listed in the Alexandria database.

POSCAR file:
```
MgNi2I
1.0
-4.492 -0.242 0.449
-2.609 3.356 -1.537
-2.603 -0.646 -3.639
I Ni Mg
1 2 1
Direct
0.500 0.500 0.500
0.750 0.750 0.750
0.250 0.250 0.250
0.000 0.000 0.000
```

Calculated values
uncorrected formation energy	0.369	eV per atom
energy above the most stable polymorph in this dataset	0.00	kcal/mol of atoms
Fermi-level density of states	1.7	states/eV/f.u.
symmetry	Fm-3m (225)
size of the total moment	0.00	μB per formula unit

Record 2
First-principles (PBE-GGA) data for an optimized crystal structure of ZrAsF2, as listed in the Alexandria database.

POSCAR file:
```
ZrAsF2
1.0
0.000 3.038 3.038
3.038 0.000 3.038
3.038 3.038 0.000
As F Zr
1 2 1
Direct
0.000 0.000 0.000
0.250 0.250 0.250
0.750 0.750 0.750
0.500 0.500 0.500
```

Calculated values
uncorrected formation energy	-1.386	eV per atom
energy above the most stable polymorph in this dataset	11.32	kcal/mol of atoms
Fermi-level density of states	2.2	states/eV/f.u.
symmetry	Fm-3m (225)
size of the total moment	0.00	μB per formula unit

Record 3
First-principles (PBE-GGA) data for an optimized crystal structure of Rb2NaYI6, as listed in the Alexandria database.

POSCAR file:
```
Rb2NaYI6
1.0
-1.224 5.944 5.822
1.312 -5.988 6.389
11.809 2.592 0.005
Y I Rb Na
2 12 4 2
Direct
0.000 0.500 0.000
0.500 0.000 0.500
0.204 0.189 0.454
0.296 0.689 0.046
0.093 0.484 0.757
0.907 0.516 0.243
0.315 0.710 0.455
0.796 0.811 0.546
0.815 0.790 0.955
0.407 0.984 0.743
0.593 0.016 0.257
0.185 0.210 0.045
0.704 0.311 0.954
0.685 0.290 0.545
0.527 0.578 0.751
0.027 0.922 0.251
0.973 0.078 0.749
0.473 0.422 0.249
0.500 0.000 0.000
0.000 0.500 0.500
```

Calculated values
uncorrected formation energy	-1.427	eV per atom
energy above the most stable polymorph in this dataset	0.00	kcal/mol of atoms
Fermi-level density of states	0.0	states/eV/f.u.
symmetry	P2_1/c (14)
size of the total moment	0.00	μB per formula unit

Record 4
First-principles (PBE-GGA) data for an optimized crystal structure of MgAl2Cd, as listed in the Alexandria database.

POSCAR file:
```
MgAl2Cd
1.0
5.322 0.141 0.064
4.447 2.927 0.064
1.026 0.322 5.269
Mg Al Cd
1 2 1
Direct
0.746 0.746 0.748
0.998 0.998 0.014
0.255 0.255 0.232
0.501 0.501 0.506
```

Calculated values
ΔE_f	0.2	eV per formula unit
Fermi-level density of states	1.4	states/eV/f.u.
symmetry	Cm (8)
size of the total moment	0.00	μB per formula unit